[1]
The following is a DFT calculation (PBE-GGA) of a relaxed Sc4AgPb crystal.

The magnetization is 0.00 μB/f.u. The total DFT energy (no corrections) is -5.118 eV/atom.

The space group is F-43m (No. 216) and the conventional cell measures 8.3127, 8.3127 and 8.3127 Å, with angles of 90.00, 90.00 and 90.00 degrees. The distinct sites, in fractional coordinates, are Sc at (0.1254, 0.1254, 0.1254), Ag at (0.2500, 0.2500, 0.7500) and Pb at (0.0000, 0.0000, 0.5000).

=====

[2]
The following is a DFT calculation (PBE-GGA) of a relaxed CuPRu2 crystal.

The magnetization is 0.00 μB/f.u. The total DFT energy (no corrections) is -6.883 eV/atom.

The space group is Pmm2 (No. 25) and the conventional cell measures 2.8077, 3.6806 and 5.1020 Å, with angles of 90.00, 90.00 and 90.00 degrees. The distinct sites, in fractional coordinates, are Cu at (0.0000, 0.0000, 0.0000), P at (0.5000, 0.5000, 0.2855), Ru at (0.0000, 0.0000, 0.4962) and Ru at (0.5000, 0.5000, 0.7882).